{
  "formula": "LiCoRu",
  "functional": "PBE",
  "state": "relaxed",
  "formation_enthalpy_0k_ev_per_atom": 0.1890,
  "volume_a3_per_atom": 12.19,
  "space_group": "No. 8",
  "lattice_angstrom": [[-3.374, 3.758, -7.075], [-2.759, -1.080, -2.911], [-1.026, -0.233, 4.019]],
  "species": ["Ru", "Ru", "Co", "Co", "Li", "Li"],
  "fractional_positions": [[0.957, 0.928, 0.072], [0.715, 0.503, 0.497], [0.213, 0.005, 0.995], [0.951, 0.600, 0.400], [0.443, 0.108, 0.892], [0.453, 0.432, 0.568]]
}